# 1
PmHo2Tl3: relaxed, GGA-PBE.

```
PmHo2Tl3
1.0
-1.282 3.072 1.751
-2.925 -1.968 1.311
6.140 -2.828 9.456
Ho Tl Pm
2 3 1
Direct
0.000 0.000 0.162
0.000 0.000 0.838
0.500 0.500 0.000
0.500 0.500 0.676
0.500 0.500 0.324
0.000 0.000 0.500
```

Properties
Its electronic total energy is -3.846 eV per atom. Its theoretical density is 10.98 g/cm3.

# 2
Si2BAu2: relaxed, GGA-PBE.

```
Si2BAu2
1.0
-1.799 -0.848 5.530
-3.325 4.090 2.597
0.114 -2.974 -5.067
Si Au B
2 2 1
Direct
0.388 0.388 0.000
0.612 0.612 0.000
0.750 0.250 0.500
0.250 0.750 0.500
0.000 0.000 0.000
```

Properties
The offset from the most stable computed form comes out at 2.4 kJ/mol of atoms. Its theoretical density is 8.55 g/cm3.